*1*
DFT (PBE) results for crystalline TaSn3P at its relaxed geometry. Values from VASP.

Geometry as Quantum ESPRESSO input:
```
&SYSTEM
  ibrav = 0, nat = 5, ntyp = 3
/
ATOMIC_SPECIES
P 30.97 P.upf
Sn 118.71 Sn.upf
Ta 180.95 Ta.upf
CELL_PARAMETERS angstrom
5.3958 0.0000 0.0000
0.0000 5.3958 0.0000
0.0000 0.0000 5.3958
ATOMIC_POSITIONS crystal
P 0.5000 0.5000 0.5000
Sn 0.0000 0.5000 0.0000
Sn 0.0000 0.0000 0.5000
Sn 0.5000 0.0000 0.0000
Ta 0.0000 0.0000 0.0000
```


*2*
DFT (PBE) results for crystalline TaSn3P at its relaxed geometry. Values from VASP.

Geometry as Quantum ESPRESSO input:
```
&SYSTEM
  ibrav = 0, nat = 5, ntyp = 3
/
ATOMIC_SPECIES
P 30.97 P.upf
Sn 118.71 Sn.upf
Ta 180.95 Ta.upf
CELL_PARAMETERS angstrom
-2.9805 3.6828 -1.7279
-3.0839 -3.4425 -2.0176
-2.6530 -0.1358 4.2867
ATOMIC_POSITIONS crystal
P 0.0000 0.0000 0.0000
Sn 0.0000 0.5000 0.0000
Sn 0.0000 0.0000 0.5000
Sn 0.5000 0.0000 0.0000
Ta 0.5000 0.5000 0.5000
```


Which structure wins on stability? *1* wins.


*1*
DFT (PBE) results for crystalline Ta2SnP at its relaxed geometry. Values from VASP.

Geometry as Quantum ESPRESSO input:
```
&SYSTEM
  ibrav = 0, nat = 4, ntyp = 3
/
ATOMIC_SPECIES
P 30.97 P.upf
Sn 118.71 Sn.upf
Ta 180.95 Ta.upf
CELL_PARAMETERS angstrom
1.0863 0.7184 4.4461
2.1802 3.8913 1.2524
-2.2488 3.2323 2.4410
ATOMIC_POSITIONS crystal
P 0.0000 0.0000 0.0000
Sn 0.5000 0.5000 0.5000
Ta 0.2500 0.2500 0.2500
Ta 0.7500 0.7500 0.7500
```


*2*
DFT (PBE) results for crystalline Ta2SnP at its relaxed geometry. Values from VASP.

Geometry as Quantum ESPRESSO input:
```
&SYSTEM
  ibrav = 0, nat = 8, ntyp = 3
/
ATOMIC_SPECIES
P 30.97 P.upf
Sn 118.71 Sn.upf
Ta 180.95 Ta.upf
CELL_PARAMETERS angstrom
-1.4468 -1.0419 -3.6057
-0.5311 -3.7686 1.3020
-9.8775 -0.1459 1.7619
ATOMIC_POSITIONS crystal
P 0.5000 0.5000 0.0000
P 0.2500 0.7500 0.5000
Sn 0.0000 0.0000 0.0000
Sn 0.7500 0.2500 0.5000
Ta 0.6150 0.1250 0.2500
Ta 0.1350 0.6250 0.2500
Ta 0.3750 0.3850 0.7500
Ta 0.8750 0.8650 0.7500
```


Which structure wins on stability? *1* wins.


*1*
DFT (PBE) results for crystalline Ta2SnP2 at its relaxed geometry. Values from VASP.

Geometry as Quantum ESPRESSO input:
```
&SYSTEM
  ibrav = 0, nat = 5, ntyp = 3
/
ATOMIC_SPECIES
P 30.97 P.upf
Sn 118.71 Sn.upf
Ta 180.95 Ta.upf
CELL_PARAMETERS angstrom
-0.4932 -2.1908 -2.8219
3.3938 0.6024 -1.0608
3.5197 -5.9888 1.7298
ATOMIC_POSITIONS crystal
P 0.7500 0.2500 0.5000
P 0.2500 0.7500 0.5000
Sn 0.0000 0.0000 0.0000
Ta 0.3842 0.3842 0.2315
Ta 0.6158 0.6158 0.7685
```


*2*
DFT (PBE) results for crystalline Ta2SnP2 at its relaxed geometry. Values from VASP.

Geometry as Quantum ESPRESSO input:
```
&SYSTEM
  ibrav = 0, nat = 10, ntyp = 3
/
ATOMIC_SPECIES
P 30.97 P.upf
Sn 118.71 Sn.upf
Ta 180.95 Ta.upf
CELL_PARAMETERS angstrom
-0.7199 -4.0986 6.1087
4.5398 -5.0772 -2.8715
2.4904 1.4939 1.2958
ATOMIC_POSITIONS crystal
P 0.1364 0.6364 0.5000
P 0.6364 0.8636 0.5000
P 0.8636 0.3636 0.5000
P 0.3636 0.1364 0.5000
Sn 0.0000 0.0000 0.0000
Sn 0.5000 0.5000 0.0000
Ta 0.3552 0.8552 0.0000
Ta 0.8552 0.6448 0.0000
Ta 0.6448 0.1448 0.0000
Ta 0.1448 0.3552 0.0000
```


Which structure wins on stability? *2* wins.


*1*
DFT (PBE) results for crystalline Tc2SnP at its relaxed geometry. Values from VASP.

Geometry as Quantum ESPRESSO input:
```
&SYSTEM
  ibrav = 0, nat = 8, ntyp = 3
/
ATOMIC_SPECIES
P 30.97 P.upf
Sn 118.71 Sn.upf
Tc 98.00 Tc.upf
CELL_PARAMETERS angstrom
7.1283 0.0000 0.0000
0.0000 7.1283 0.0000
3.5641 3.5641 2.7062
ATOMIC_POSITIONS crystal
P 0.5000 0.5000 0.0000
P 0.2500 0.7500 0.5000
Sn 0.0000 0.0000 0.0000
Sn 0.7500 0.2500 0.5000
Tc 0.5438 0.1250 0.2500
Tc 0.2062 0.6250 0.2500
Tc 0.3750 0.4562 0.7500
Tc 0.8750 0.7938 0.7500
```


*2*
DFT (PBE) results for crystalline Tc2SnP at its relaxed geometry. Values from VASP.

Geometry as Quantum ESPRESSO input:
```
&SYSTEM
  ibrav = 0, nat = 4, ntyp = 3
/
ATOMIC_SPECIES
Tc 98.00 Tc.upf
Sn 118.71 Sn.upf
P 30.97 P.upf
CELL_PARAMETERS angstrom
-3.2555 1.8054 1.0481
-3.3778 -1.2872 1.3747
-0.4080 0.7132 6.6008
ATOMIC_POSITIONS crystal
Tc 0.0416 0.0416 0.8194
Tc 0.3080 0.3080 0.1820
Sn 0.4739 0.4739 0.5007
P 0.6765 0.6765 0.9978
```


*3*
DFT (PBE) results for crystalline Tc2SnP at its relaxed geometry. Values from VASP.

Geometry as Quantum ESPRESSO input:
```
&SYSTEM
  ibrav = 0, nat = 4, ntyp = 3
/
ATOMIC_SPECIES
P 30.97 P.upf
Sn 118.71 Sn.upf
Tc 98.00 Tc.upf
CELL_PARAMETERS angstrom
0.0000 3.1226 3.1226
3.1226 0.0000 3.1226
3.1226 3.1226 0.0000
ATOMIC_POSITIONS crystal
P 0.0000 0.0000 0.0000
Sn 0.5000 0.5000 0.5000
Tc 0.2500 0.2500 0.2500
Tc 0.7500 0.7500 0.7500
```


Which structure wins on stability? *2* wins.


*1*
DFT (PBE) results for crystalline Tc3SnP at its relaxed geometry. Values from VASP.

Geometry as Quantum ESPRESSO input:
```
&SYSTEM
  ibrav = 0, nat = 5, ntyp = 3
/
ATOMIC_SPECIES
P 30.97 P.upf
Sn 118.71 Sn.upf
Tc 98.00 Tc.upf
CELL_PARAMETERS angstrom
-0.0225 -4.8334 0.7747
0.5964 -0.7717 -4.7971
4.8587 0.0723 0.5925
ATOMIC_POSITIONS crystal
P 0.5000 0.5000 0.5000
Sn 0.0000 0.0000 0.0000
Tc 0.0000 0.5000 0.0000
Tc 0.0000 0.0000 0.5000
Tc 0.5000 0.0000 0.0000
```


*2*
DFT (PBE) results for crystalline Tc3SnP at its relaxed geometry. Values from VASP.

Geometry as Quantum ESPRESSO input:
```
&SYSTEM
  ibrav = 0, nat = 5, ntyp = 3
/
ATOMIC_SPECIES
P 30.97 P.upf
Sn 118.71 Sn.upf
Tc 98.00 Tc.upf
CELL_PARAMETERS angstrom
-1.2860 0.0510 4.2198
-2.3982 -3.6387 -0.6869
3.4725 -2.4941 1.0884
ATOMIC_POSITIONS crystal
P 0.0000 0.0000 0.0000
Sn 0.5000 0.5000 0.5000
Tc 0.0000 0.5000 0.0000
Tc 0.0000 0.0000 0.5000
Tc 0.5000 0.0000 0.0000
```


Which structure wins on stability? *2* wins.


*1*
DFT (PBE) results for crystalline Sn2TeP2 at its relaxed geometry. Values from VASP.

Geometry as Quantum ESPRESSO input:
```
&SYSTEM
  ibrav = 0, nat = 10, ntyp = 3
/
ATOMIC_SPECIES
P 30.97 P.upf
Te 127.60 Te.upf
Sn 118.71 Sn.upf
CELL_PARAMETERS angstrom
7.9164 0.0000 0.0000
0.0000 7.9164 0.0000
0.0000 0.0000 3.8995
ATOMIC_POSITIONS crystal
P 0.3100 0.8100 0.0000
P 0.8100 0.6900 0.0000
P 0.6900 0.1900 0.0000
P 0.1900 0.3100 0.0000
Te 0.0000 0.0000 0.0000
Te 0.5000 0.5000 0.0000
Sn 0.1427 0.6428 0.5000
Sn 0.6428 0.8572 0.5000
Sn 0.8572 0.3572 0.5000
Sn 0.3572 0.1427 0.5000
```


*2*
DFT (PBE) results for crystalline Sn2TeP2 at its relaxed geometry. Values from VASP.

Geometry as Quantum ESPRESSO input:
```
&SYSTEM
  ibrav = 0, nat = 5, ntyp = 3
/
ATOMIC_SPECIES
P 30.97 P.upf
Te 127.60 Te.upf
Sn 118.71 Sn.upf
CELL_PARAMETERS angstrom
3.8931 0.0000 0.0000
0.0000 3.8931 0.0000
1.9466 1.9466 7.9945
ATOMIC_POSITIONS crystal
P 0.7500 0.2500 0.5000
P 0.2500 0.7500 0.5000
Te 0.0000 0.0000 0.0000
Sn 0.3848 0.3848 0.2304
Sn 0.6152 0.6152 0.7696
```


Which structure wins on stability? *2* wins.


*1*
DFT (PBE) results for crystalline Sn2TeP at its relaxed geometry. Values from VASP.

Geometry as Quantum ESPRESSO input:
```
&SYSTEM
  ibrav = 0, nat = 4, ntyp = 3
/
ATOMIC_SPECIES
Sn 118.71 Sn.upf
Te 127.60 Te.upf
P 30.97 P.upf
CELL_PARAMETERS angstrom
-2.4201 1.8592 2.7117
-3.8295 -1.3039 0.5494
0.2871 -4.5247 6.4316
ATOMIC_POSITIONS crystal
Sn 0.0745 0.0745 0.7766
Sn 0.2674 0.2674 0.1977
Te 0.4927 0.4927 0.5219
P 0.6654 0.6654 0.0038
```


*2*
DFT (PBE) results for crystalline Sn2TeP at its relaxed geometry. Values from VASP.

Geometry as Quantum ESPRESSO input:
```
&SYSTEM
  ibrav = 0, nat = 8, ntyp = 3
/
ATOMIC_SPECIES
P 30.97 P.upf
Te 127.60 Te.upf
Sn 118.71 Sn.upf
CELL_PARAMETERS angstrom
-5.6363 4.7716 0.7694
-4.8307 -5.5232 -1.1345
-5.3281 -1.1976 4.2208
ATOMIC_POSITIONS crystal
P 0.5000 0.5000 0.0000
P 0.2500 0.7500 0.5000
Te 0.0000 0.0000 0.0000
Te 0.7500 0.2500 0.5000
Sn 0.5831 0.1250 0.2500
Sn 0.1669 0.6250 0.2500
Sn 0.3750 0.4169 0.7500
Sn 0.8750 0.8331 0.7500
```


*3*
DFT (PBE) results for crystalline Sn2TeP at its relaxed geometry. Values from VASP.

Geometry as Quantum ESPRESSO input:
```
&SYSTEM
  ibrav = 0, nat = 4, ntyp = 3
/
ATOMIC_SPECIES
P 30.97 P.upf
Te 127.60 Te.upf
Sn 118.71 Sn.upf
CELL_PARAMETERS angstrom
4.1966 0.0000 0.0000
2.0983 3.6344 0.0000
2.0983 1.2115 6.9822
ATOMIC_POSITIONS crystal
P 0.0000 0.0000 0.0000
Te 0.5000 0.5000 0.5000
Sn 0.2623 0.2623 0.2130
Sn 0.7377 0.7377 0.7870
```


Which structure wins on stability? *3* wins.


*1*
DFT (PBE) results for crystalline SnTe3P at its relaxed geometry. Values from VASP.

Geometry as Quantum ESPRESSO input:
```
&SYSTEM
  ibrav = 0, nat = 5, ntyp = 3
/
ATOMIC_SPECIES
P 30.97 P.upf
Te 127.60 Te.upf
Sn 118.71 Sn.upf
CELL_PARAMETERS angstrom
5.7218 0.0000 0.0000
0.0000 5.7218 0.0000
0.0000 0.0000 5.7218
ATOMIC_POSITIONS crystal
P 0.5000 0.5000 0.5000
Te 0.0000 0.5000 0.0000
Te 0.0000 0.0000 0.5000
Te 0.5000 0.0000 0.0000
Sn 0.0000 0.0000 0.0000
```


*2*
DFT (PBE) results for crystalline SnTe3P at its relaxed geometry. Values from VASP.

Geometry as Quantum ESPRESSO input:
```
&SYSTEM
  ibrav = 0, nat = 5, ntyp = 3
/
ATOMIC_SPECIES
P 30.97 P.upf
Te 127.60 Te.upf
Sn 118.71 Sn.upf
CELL_PARAMETERS angstrom
-2.5891 4.1015 -2.1184
-4.2337 -3.0779 -0.7846
-1.8400 1.3107 4.7864
ATOMIC_POSITIONS crystal
P 0.0000 0.0000 0.0000
Te 0.0000 0.5000 0.0000
Te 0.0000 0.0000 0.5000
Te 0.5000 0.0000 0.0000
Sn 0.5000 0.5000 0.5000
```


Which structure wins on stability? *2* wins.